a.
Below is a relaxed structure of LiTm3Rh2, with properties calculated at the PBE-GGA level. Values from VASP.

Geometry as Quantum ESPRESSO input:
```
&SYSTEM
  ibrav = 0, nat = 12, ntyp = 3
/
ATOMIC_SPECIES
Li 6.94 Li.upf
Rh 102.91 Rh.upf
Tm 168.93 Tm.upf
CELL_PARAMETERS angstrom
4.818 0.000 0.000
-2.409 4.173 0.000
0.000 0.000 11.934
ATOMIC_POSITIONS angstrom
Li 2.409 1.391 3.933
Rh 0.000 2.782 2.035
Rh 2.409 1.391 9.899
Tm 2.409 1.391 0.921
Rh 0.000 0.000 5.967
Tm 0.000 2.782 11.013
Tm 0.000 0.000 2.886
Li 0.000 2.782 8.001
Tm 0.000 0.000 9.048
Rh 0.000 0.000 0.000
Tm 0.000 2.782 4.975
Tm 2.409 1.391 6.959
```

Output
As for the density of states at the Fermi level: 0.43 states/eV per atom. The calculation puts the total magnetization at 0.00 μB per formula unit.

---

b.
Below is a relaxed structure of LiTm3Rh2, with properties calculated at the PBE-GGA level. Values from VASP.

Geometry as Quantum ESPRESSO input:
```
&SYSTEM
  ibrav = 0, nat = 6, ntyp = 3
/
ATOMIC_SPECIES
Rh 102.91 Rh.upf
Tm 168.93 Tm.upf
Li 6.94 Li.upf
CELL_PARAMETERS angstrom
3.417 0.000 0.000
0.000 3.417 0.000
0.000 0.000 10.964
ATOMIC_POSITIONS angstrom
Rh 1.709 1.709 9.219
Tm 0.000 0.000 7.671
Rh 1.709 1.709 1.745
Tm 0.000 0.000 0.000
Tm 0.000 0.000 3.293
Li 1.709 1.709 5.482
```

Output
As for the density of states at the Fermi level: 0.70 states/eV per atom. The calculation puts the total magnetization at 0.00 μB per formula unit.

---

Name the most stable of them. a.

---

a.
Below is a relaxed structure of LiTm4Rh2, with properties calculated at the PBE-GGA level. Values from VASP.

Geometry as Quantum ESPRESSO input:
```
&SYSTEM
  ibrav = 0, nat = 7, ntyp = 3
/
ATOMIC_SPECIES
Tm 168.93 Tm.upf
Li 6.94 Li.upf
Rh 102.91 Rh.upf
CELL_PARAMETERS angstrom
4.577 0.000 1.430
2.065 4.085 1.430
-0.092 -0.057 8.335
ATOMIC_POSITIONS angstrom
Tm 0.792 0.487 5.505
Tm 5.758 3.541 5.690
Li 0.000 0.000 0.000
Tm 4.112 2.529 2.920
Rh 1.655 1.018 2.744
Rh 4.896 3.011 8.451
Tm 2.439 1.500 8.275
```

Output
As for the density of states at the Fermi level: 0.79 states/eV per atom. The calculation puts the total magnetization at 0.00 μB per formula unit.

---

b.
Below is a relaxed structure of LiTm4Rh2, with properties calculated at the PBE-GGA level. Values from VASP.

Geometry as Quantum ESPRESSO input:
```
&SYSTEM
  ibrav = 0, nat = 14, ntyp = 3
/
ATOMIC_SPECIES
Tm 168.93 Tm.upf
Li 6.94 Li.upf
Rh 102.91 Rh.upf
CELL_PARAMETERS angstrom
1.415 8.071 1.037
-7.738 -2.814 2.131
4.695 -3.342 3.213
ATOMIC_POSITIONS angstrom
Tm -0.695 2.973 3.445
Tm -0.518 -0.919 5.060
Li -2.751 -2.649 3.932
Tm 3.764 3.849 3.870
Rh -3.506 2.925 4.040
Tm -2.747 0.375 2.831
Tm -2.945 5.030 2.201
Rh -0.268 4.525 0.987
Rh 0.032 0.472 2.612
Tm 1.757 2.345 1.422
Tm 1.301 5.844 2.858
Li -2.695 -5.872 5.237
Tm 2.642 -0.779 3.289
Rh -0.135 -3.673 4.219
```

Output
As for the density of states at the Fermi level: 0.75 states/eV per atom. The calculation puts the total magnetization at 0.00 μB per formula unit.

---

Name the most stable of them. a.

---

a.
Below is a relaxed structure of LiTmRh2, with properties calculated at the PBE-GGA level. Values from VASP.

Geometry as Quantum ESPRESSO input:
```
&SYSTEM
  ibrav = 0, nat = 4, ntyp = 3
/
ATOMIC_SPECIES
Rh 102.91 Rh.upf
Tm 168.93 Tm.upf
Li 6.94 Li.upf
CELL_PARAMETERS angstrom
4.494 0.000 0.000
2.247 3.892 0.000
2.247 1.297 3.669
ATOMIC_POSITIONS angstrom
Rh 2.247 1.297 0.917
Tm 0.000 0.000 0.000
Rh 6.741 3.892 2.752
Li 4.494 2.595 1.835
```

Output
As for the density of states at the Fermi level: 0.59 states/eV per atom. The calculation puts the total magnetization at 0.00 μB per formula unit.

---

b.
Below is a relaxed structure of LiTmRh2, with properties calculated at the PBE-GGA level. Values from VASP.

Geometry as Quantum ESPRESSO input:
```
&SYSTEM
  ibrav = 0, nat = 4, ntyp = 3
/
ATOMIC_SPECIES
Rh 102.91 Rh.upf
Tm 168.93 Tm.upf
Li 6.94 Li.upf
CELL_PARAMETERS angstrom
-0.273 -0.343 3.685
4.162 0.115 0.318
-0.144 4.156 0.377
ATOMIC_POSITIONS angstrom
Rh 2.081 0.057 0.159
Rh -0.072 2.078 0.188
Tm 1.873 1.964 2.190
Li -0.136 -0.172 1.843
```

Output
As for the density of states at the Fermi level: 0.68 states/eV per atom. The calculation puts the total magnetization at 0.00 μB per formula unit.

---

Name the most stable of them. a.

---

a.
Below is a relaxed structure of LiV2Rh2, with properties calculated at the PBE-GGA level. Values from VASP.

Geometry as Quantum ESPRESSO input:
```
&SYSTEM
  ibrav = 0, nat = 10, ntyp = 3
/
ATOMIC_SPECIES
V 50.94 V.upf
Li 6.94 Li.upf
Rh 102.91 Rh.upf
CELL_PARAMETERS angstrom
-5.046 -5.408 0.453
5.410 -4.964 1.005
-0.157 0.370 2.674
ATOMIC_POSITIONS angstrom
V -0.806 -7.825 1.037
Li 0.182 -5.186 0.729
Li 0.000 0.000 0.000
V 1.169 -2.547 0.421
V -2.470 -4.227 0.441
V 2.834 -6.145 1.017
Rh -1.052 -2.453 1.645
Rh 1.259 -7.549 2.487
Rh 2.681 -3.834 2.056
Rh -2.474 -6.168 2.076
```

Output
As for the density of states at the Fermi level: 0.83 states/eV per atom. The calculation puts the total magnetization at 0.00 μB per formula unit.

---

b.
Below is a relaxed structure of LiV2Rh2, with properties calculated at the PBE-GGA level. Values from VASP.

Geometry as Quantum ESPRESSO input:
```
&SYSTEM
  ibrav = 0, nat = 10, ntyp = 3
/
ATOMIC_SPECIES
Li 6.94 Li.upf
Rh 102.91 Rh.upf
V 50.94 V.upf
CELL_PARAMETERS angstrom
7.366 0.000 0.000
0.000 7.366 0.000
0.000 0.000 2.733
ATOMIC_POSITIONS angstrom
Li 0.000 0.000 0.000
Rh 4.733 1.050 0.000
V 4.815 6.235 1.367
Rh 2.633 6.316 0.000
V 6.235 2.552 1.367
Rh 6.316 4.733 0.000
Li 3.683 3.683 0.000
V 1.132 4.815 1.367
V 2.552 1.132 1.367
Rh 1.050 2.633 0.000
```

Output
As for the density of states at the Fermi level: 0.91 states/eV per atom. The calculation puts the total magnetization at 0.00 μB per formula unit.

---

Name the most stable of them. b.

---

a.
Below is a relaxed structure of LiRh4W, with properties calculated at the PBE-GGA level. Values from VASP.

Geometry as Quantum ESPRESSO input:
```
&SYSTEM
  ibrav = 0, nat = 6, ntyp = 3
/
ATOMIC_SPECIES
Rh 102.91 Rh.upf
Li 6.94 Li.upf
W 183.84 W.upf
CELL_PARAMETERS angstrom
0.000 3.574 3.574
3.574 0.000 3.574
3.574 3.574 0.000
ATOMIC_POSITIONS angstrom
Rh 4.470 2.677 4.470
Li 0.000 0.000 0.000
Rh 2.677 2.677 2.677
Rh 4.470 4.470 2.677
W 5.360 5.360 5.360
Rh 2.677 4.470 4.470
```

Output
As for the density of states at the Fermi level: 0.44 states/eV per atom. The calculation puts the total magnetization at 0.00 μB per formula unit.

---

b.
Below is a relaxed structure of LiRh4W, with properties calculated at the PBE-GGA level. Values from VASP.

Geometry as Quantum ESPRESSO input:
```
&SYSTEM
  ibrav = 0, nat = 6, ntyp = 3
/
ATOMIC_SPECIES
Rh 102.91 Rh.upf
Li 6.94 Li.upf
W 183.84 W.upf
CELL_PARAMETERS angstrom
2.626 0.000 0.760
1.392 4.568 0.107
-0.624 -0.815 7.076
ATOMIC_POSITIONS angstrom
Rh 2.062 4.271 2.711
Rh 1.333 -0.518 5.231
Rh 1.039 2.116 1.326
Rh 2.355 1.637 6.616
Li 1.697 1.876 3.971
W 0.000 0.000 0.000
```

Output
As for the density of states at the Fermi level: 1.20 states/eV per atom. The calculation puts the total magnetization at 0.00 μB per formula unit.

---

c.
Below is a relaxed structure of LiRh4W, with properties calculated at the PBE-GGA level. Values from VASP.

Geometry as Quantum ESPRESSO input:
```
&SYSTEM
  ibrav = 0, nat = 12, ntyp = 3
/
ATOMIC_SPECIES
Rh 102.91 Rh.upf
W 183.84 W.upf
Li 6.94 Li.upf
CELL_PARAMETERS angstrom
4.375 0.000 0.000
-2.188 4.483 1.192
0.000 0.076 8.684
ATOMIC_POSITIONS angstrom
Rh -1.094 2.469 1.987
Rh 1.094 2.507 6.330
W -1.094 2.280 4.938
Rh 1.094 0.202 7.859
Li 3.282 0.057 6.513
Li 1.094 0.019 2.171
Rh -1.094 4.395 6.360
Rh 3.281 2.090 7.889
Rh 3.281 0.164 3.517
Rh 1.094 2.052 3.547
W 1.094 2.242 0.596
Rh 1.094 4.357 2.018
```

Output
As for the density of states at the Fermi level: 1.43 states/eV per atom. The calculation puts the total magnetization at 0.00 μB per formula unit.

---

Name the most stable of them. b.